Here is crystalline LaPO4 at its relaxed geometry from Alexandria via LeMat-Bulk. Energies are from PBE.

a = 7.2640 Å, b = 7.2640 Å, c = 6.5011 Å
α = 90.00°, β = 90.00°, γ = 120.00°
Space group P6_222 (No. 180)
Symmetry-distinct sites (fractional):
La: 0.0000 0.5000 0.1667 x3
P: 0.0000 0.5000 0.6667 x3
O: 0.1363 0.4471 0.8129 x12

Uncorrected formation energy ... -18.21 eV per formula unit
Size of the total moment ... 0.000 μB per formula unit